The following is a DFT calculation (GGA-PBE) of a relaxed CoPW crystal.

Calculated values
- VASP energy: -8.934 eV/atom
- Calculated volume: 110 Å³/cell

Lattice parameters (Å, degrees): 5.7863 5.7863 3.7859 90.00 90.00 120.00
Last column: nearest neighbours and their distance in Å.
Positions (direct):
Co  0.0000  0.2584  0.0000  4 P 2.18-2.41
Co  0.2584  0.0000  0.0000  4 P 2.18-2.41
Co  0.7416  0.7416  0.0000  4 P 2.18-2.41
P  0.0000  0.0000  0.5000  3 W 2.37, 6 Co 2.41
P  0.3333  0.6667  0.0000  3 Co 2.18
P  0.6667  0.3333  0.0000  3 Co 2.18
W  0.0000  0.5900  0.5000  5 P 2.37-2.58
W  0.4100  0.4100  0.5000  5 P 2.37-2.58
W  0.5900  0.0000  0.5000  5 P 2.37-2.58

The following is a DFT calculation (GGA-PBE) of a relaxed FeNiTe3Pb crystal.

Calculated values
- Calculated volume: 284 Å³/cell
- Energy above the lowest structure with this stoichiometry: 4 kJ/mol of formula units

Lattice parameters (Å, degrees): 7.1262 7.1262 10.6471 90.00 90.00 148.27
Last column: nearest neighbours and their distance in Å.
Positions (direct):
Fe  0.0000  0.0000  0.0000  6 Te 2.64-2.76
Fe  0.0000  0.0000  0.5000  6 Te 2.64-2.76
Ni  0.4328  0.5672  0.7500  4 Te 2.53-2.54
Ni  0.5672  0.4328  0.2500  4 Te 2.53-2.54
Te  0.0518  0.9482  0.7500  2 Ni 2.54, 2 Fe 2.76
Te  0.3720  0.6280  0.5256  1 Ni 2.53, 2 Fe 2.64
Te  0.3720  0.6280  0.9744  1 Ni 2.53, 2 Fe 2.64
Te  0.6280  0.3720  0.0256  1 Ni 2.53, 2 Fe 2.64
Te  0.6280  0.3720  0.4744  1 Ni 2.53, 2 Fe 2.64
Te  0.9482  0.0518  0.2500  2 Ni 2.54, 2 Fe 2.76
Pb  0.2248  0.7752  0.2500  2 Ni 2.91
Pb  0.7752  0.2248  0.7500  2 Ni 2.91

The following is a DFT calculation (GGA-PBE) of a relaxed GdDy2Al3Ni3 crystal.

Calculated values
- VASP energy: -5.246 eV/atom
- Calculated volume: 164 Å³/cell

Lattice parameters (Å, degrees): 3.9668 6.9095 6.9095 119.92 90.00 90.00
Last column: nearest neighbours and their distance in Å.
Positions (direct):
Gd  0.0000  0.0000  0.0000  5 Ni 2.88-2.90, 6 Al 3.12-3.20
Dy  0.0000  0.4165  0.8325  5 Ni 2.86-2.87, 6 Al 3.12-3.19
Dy  0.0000  0.8325  0.4165  5 Ni 2.86-2.87, 6 Al 3.12-3.19
Al  0.5000  0.1827  0.4179  4 Ni 2.57-2.73, 2 Al 2.81
Al  0.5000  0.4179  0.1827  4 Ni 2.57-2.73, 2 Al 2.81
Al  0.5000  0.6512  0.6512  4 Ni 2.55-2.72, 2 Al 2.81
Ni  0.0000  0.4190  0.4190  6 Al 2.55-2.57
Ni  0.5000  0.0844  0.7478  3 Al 2.68-2.73, 4 Dy 2.86-2.87, 2 Gd 2.88
Ni  0.5000  0.7478  0.0844  3 Al 2.68-2.73, 4 Dy 2.86-2.87, 2 Gd 2.88

The following is a DFT calculation (GGA-PBE) of a relaxed Ta2NbSn2 crystal.

Calculated values
- Calculated volume: 210 Å³/cell
- Energy above the lowest structure with this stoichiometry: 0 kJ/mol of formula units

Lattice parameters (Å, degrees): 3.9326 3.9326 13.5941 90.00 90.00 90.00
Last column: nearest neighbours and their distance in Å.
Positions (direct):
Ta  0.0000  0.5000  0.2500  4 Ta 2.78, 4 Sn 2.85
Ta  0.0000  0.5000  0.7500  4 Ta 2.78, 4 Sn 2.85
Ta  0.5000  0.0000  0.2500  4 Ta 2.78, 4 Sn 2.85
Ta  0.5000  0.0000  0.7500  4 Ta 2.78, 4 Sn 2.85
Nb  0.0000  0.0000  0.0000  8 Sn 3.09
Nb  0.5000  0.5000  0.5000  8 Sn 3.09
Sn  0.0000  0.0000  0.4013  1 Sn 2.68, 4 Ta 2.85
Sn  0.0000  0.0000  0.5987  1 Sn 2.68, 4 Ta 2.85
Sn  0.5000  0.5000  0.0987  1 Sn 2.68, 4 Ta 2.85
Sn  0.5000  0.5000  0.9013  1 Sn 2.68, 4 Ta 2.85

The following is a DFT calculation (GGA-PBE) of a relaxed Th2Se crystal.

Calculated values
- VASP energy: -4.760 eV/atom
- Calculated volume: 521 Å³/cell

Lattice parameters (Å, degrees): 9.0320 9.0320 9.0320 60.00 60.00 60.00
Last column: nearest neighbours and their distance in Å.
Positions (direct):
Th  0.0000  0.0000  0.0000  2 Se 2.77
Th  0.0000  0.0000  0.5000  2 Se 2.77
Th  0.0000  0.5000  0.0000  2 Se 2.77
Th  0.5000  0.0000  0.0000  2 Se 2.77
Se  0.1250  0.1250  0.1250  4 Th 2.77
Se  0.8750  0.8750  0.8750  4 Th 2.77

The following is a DFT calculation (GGA-PBE) of a relaxed ErBrO crystal.

Calculated values
- VASP energy: -6.651 eV/atom
- Calculated volume: 275 Å³/cell

Lattice parameters (Å, degrees): 9.5338 9.5338 7.5076 93.84 93.84 23.79
Last column: nearest neighbours and their distance in Å.
Positions (direct):
Er  0.1907  0.1907  0.1160  4 O 2.20-2.22
Er  0.1918  0.1918  0.6138  4 O 2.20-2.24
Er  0.8082  0.8082  0.3862  4 O 2.20-2.24
Er  0.8093  0.8093  0.8840  4 O 2.20-2.22
Br  0.0780  0.0780  0.8424  2 Er 2.82-2.84
Br  0.3970  0.3970  0.6492  4 Er 3.17, 4 O 3.25-3.45
Br  0.6030  0.6030  0.3508  4 Er 3.17, 4 O 3.25-3.45
Br  0.9220  0.9220  0.1576  2 Er 2.82-2.84
O  0.2544  0.2544  0.8793  4 Er 2.21-2.24
O  0.2553  0.2553  0.3720  4 Er 2.20-2.23
O  0.7447  0.7447  0.6280  4 Er 2.20-2.23
O  0.7456  0.7456  0.1207  4 Er 2.21-2.24

The following is a DFT calculation (GGA-PBE) of a relaxed PrNd2Mg3Pd2Au crystal.

Calculated values
- VASP energy: -4.271 eV/atom
- Calculated volume: 213 Å³/cell

Lattice parameters (Å, degrees): 4.1652 7.6746 7.6746 119.98 90.00 90.00
Last column: nearest neighbours and their distance in Å.
Positions (direct):
Pr  0.0000  0.0000  0.0000  4 Pd 3.12, 1 Au 3.20, 6 Mg 3.35-3.47
Nd  0.0000  0.1702  0.5847  4 Pd 3.11, 1 Au 3.18, 6 Mg 3.34-3.47
Nd  0.0000  0.5847  0.1702  4 Pd 3.11, 1 Au 3.18, 6 Mg 3.34-3.47
Mg  0.5000  0.3410  0.3410  2 Au 2.79, 2 Pd 2.97
Mg  0.5000  0.5840  0.8290  2 Au 2.81, 2 Pd 2.94-2.97
Mg  0.5000  0.8290  0.5840  2 Au 2.81, 2 Pd 2.94-2.97
Pd  0.5000  0.2524  0.9177  3 Mg 2.94-2.97, 4 Nd 3.11, 2 Pr 3.12
Pd  0.5000  0.9177  0.2524  3 Mg 2.94-2.97, 4 Nd 3.11, 2 Pr 3.12
Au  0.0000  0.5836  0.5836  6 Mg 2.79-2.81

The following is a DFT calculation (GGA-PBE) of a relaxed PuScBi crystal.

Calculated values
- VASP energy: -8.179 eV/atom
- Calculated volume: 367 Å³/cell

Lattice parameters (Å, degrees): 7.1608 7.1608 7.1608 90.00 90.00 90.00
Last column: nearest neighbours and their distance in Å.
Positions (direct):
Pu  0.0000  0.0000  0.0000  4 Sc 3.10
Pu  0.0000  0.5000  0.5000  4 Sc 3.10
Pu  0.5000  0.0000  0.5000  4 Sc 3.10
Pu  0.5000  0.5000  0.0000  4 Sc 3.10
Sc  0.2500  0.2500  0.7500  4 Bi 3.10, 4 Pu 3.10
Sc  0.2500  0.7500  0.2500  4 Bi 3.10, 4 Pu 3.10
Sc  0.7500  0.2500  0.2500  4 Bi 3.10, 4 Pu 3.10
Sc  0.7500  0.7500  0.7500  4 Bi 3.10, 4 Pu 3.10
Bi  0.0000  0.0000  0.5000  4 Sc 3.10
Bi  0.0000  0.5000  0.0000  4 Sc 3.10
Bi  0.5000  0.0000  0.0000  4 Sc 3.10
Bi  0.5000  0.5000  0.5000  4 Sc 3.10

calculated volume of number 8 (PuScBi)? 367 Å³/cell

calculated volume of number 8 (PuScBi)? 367 Å³/cell